# GGA-PBE Sc3HgN, optimized geometry
data_Sc3HgN
_symmetry_space_group_name_H-M 'I m m m'
_symmetry_Int_Tables_number 71
_symmetry_space_group_name_Hall '-I 2 2'
_cell_length_a 3.1811
_cell_length_b 9.8306
_cell_length_c 12.5466
_cell_angle_alpha 90.00
_cell_angle_beta 90.00
_cell_angle_gamma 90.00
loop_
_atom_site_label
_atom_site_fract_x
_atom_site_fract_y
_atom_site_fract_z
Sc1 0.0000 0.0000 0.1619
Sc2 0.0000 0.3484 0.1494
Hg1 0.0000 0.3362 0.5000
N1 0.0000 0.0000 0.3340
# ρ   5.92 g/cm³
# Uncorrected formation energy   -0.79 eV per atom